A plane-wave DFT calculation with GGA-PBE was carried out for an optimized crystal structure of Nd5Er12Sc2.

Cell: 7.192 9.899 9.855 Å, 69.41 90.00 111.30°
Sites, in units of the cell vectors:
Er 0.501 0.002 0.686
Er 0.087 0.679 0.506
Er 0.499 0.998 0.314
Er 0.015 0.029 0.786
Er 0.594 0.685 0.864
Er 0.985 0.971 0.214
Er 0.909 0.315 0.136
Er 0.409 0.321 0.494
Er 0.091 0.685 0.864
Er 0.913 0.321 0.494
Er 0.591 0.679 0.506
Er 0.406 0.315 0.136
Nd 0.811 0.621 0.195
Nd 0.318 0.636 0.206
Nd 0.189 0.379 0.805
Nd 0.000 0.000 0.500
Nd 0.682 0.364 0.794
Sc 0.697 0.000 0.000
Sc 0.303 0.000 0.000

SG	C2/m, No. 12
V	605.3	Å³/cell
magnetization	0.00	μB/f.u.
DFT total energy	-4.626	eV per atom
formation enthalpy at 0 K	0.177	eV per atom